[1]
Material: PaAlRh2
Method: DFT, GGA-PBE
State: optimized geometry

a = 4.6192 Å, b = 4.6192 Å, c = 3.3033 Å
α = 90.00°, β = 90.00°, γ = 90.00°
Element x y z (fractional)
Pa (0.0000, 0.0000, 0.0000)
Al (0.5000, 0.5000, 0.0000)
Rh (0.0000, 0.5000, 0.5000)
Rh (0.5000, 0.0000, 0.5000)

=====

[2]
Material: Pa2AlRh4
Method: DFT, GGA-PBE
State: optimized geometry

a = 4.7814 Å, b = 4.8414 Å, c = 6.7675 Å
α = 71.24°, β = 81.69°, γ = 72.39°
Element x y z (fractional)
Pa (0.0094, 0.1352, 0.2214)
Pa (0.9906, 0.8648, 0.7786)
Al (0.5000, 0.5000, 0.5000)
Rh (0.0000, 0.5000, 0.5000)
Rh (0.2960, 0.2056, 0.8684)
Rh (0.5000, 0.0000, 0.5000)
Rh (0.7040, 0.7944, 0.1316)

=====

[3]
Material: PaAl2Rh
Method: DFT, GGA-PBE
State: optimized geometry

a = 9.2779 Å, b = 9.2779 Å, c = 9.2779 Å
α = 18.73°, β = 18.73°, γ = 18.73°
Element x y z (fractional)
Pa (0.0000, 0.0000, 0.0000)
Al (0.2352, 0.2352, 0.2352)
Al (0.7648, 0.7648, 0.7648)
Rh (0.5000, 0.5000, 0.5000)

=====

no.,DFT total energy (eV per atom),total magnetization (μB per formula unit)
1,-7.70,0.0
2,-8.10,0.0
3,-6.46,0.0